# 1
The following is a PBE calculation of a relaxed Tm2ThGe crystal, from the Alexandria database.

Results
Energy   -21.87 eV/cell
ΔE_f   -0.222 eV per atom

Unit cell a=10.1343 b=10.1343 c=10.1343 alpha=20.28 beta=20.28 gamma=20.28
Fractional positions:
Tm 0.2367 0.2367 0.2367
Tm 0.7633 0.7633 0.7633
Th 0.0000 0.0000 0.0000
Ge 0.5000 0.5000 0.5000

***

# 2
The following is a PBE calculation of a relaxed TmThGe2 crystal, from the Alexandria database.

Results
Energy   -48.25 eV/cell
ΔE_f   -0.750 eV per atom

Unit cell a=4.1119 b=5.8822 c=7.9686 alpha=90.00 beta=90.00 gamma=90.00
Fractional positions:
Tm 0.0000 0.1221 0.0000
Tm 0.0000 0.8779 0.5000
Th 0.5000 0.3732 0.3622
Th 0.5000 0.6268 0.8622
Ge 0.0000 0.3982 0.6387
Ge 0.0000 0.6018 0.1387
Ge 0.5000 0.1053 0.7247
Ge 0.5000 0.8947 0.2247

***

# 3
The following is a PBE calculation of a relaxed TmTh4Ge4 crystal, from the Alexandria database.

Results
Energy   -58.01 eV/cell
ΔE_f   -0.599 eV per atom

Unit cell a=7.2809 b=7.2809 c=7.2809 alpha=99.85 beta=99.85 gamma=131.14
Fractional positions:
Tm 0.0000 0.0000 0.0000
Th 0.2025 0.5980 0.8005
Th 0.4020 0.2025 0.6045
Th 0.5980 0.7975 0.3955
Th 0.7975 0.4020 0.1995
Ge 0.0953 0.2942 0.3896
Ge 0.2942 0.9047 0.1989
Ge 0.7058 0.0953 0.8011
Ge 0.9047 0.7058 0.6104

***

# 4
The following is a PBE calculation of a relaxed Tm2Th2Ge3 crystal, from the Alexandria database.

Results
Energy   -41.63 eV/cell
ΔE_f   -0.570 eV per atom

Unit cell a=7.1270 b=7.1270 c=7.0265 alpha=99.98 beta=99.98 gamma=35.11
Fractional positions:
Tm 0.1281 0.1281 0.3708
Tm 0.8719 0.8719 0.6292
Th 0.3762 0.3762 0.1383
Th 0.6238 0.6238 0.8617
Ge 0.0000 0.0000 0.0000
Ge 0.2549 0.2549 0.7426
Ge 0.7451 0.7451 0.2574

***

# 5
The following is a PBE calculation of a relaxed TmThGe2 crystal, from the Alexandria database.

Results
Energy   -24.11 eV/cell
ΔE_f   -0.747 eV per atom

Unit cell a=4.1577 b=5.8601 c=5.8601 alpha=42.67 beta=90.00 gamma=90.00
Fractional positions:
Tm 0.0000 0.0000 0.0000
Th 0.5000 0.2744 0.2744
Ge 0.0000 0.7257 0.7257
Ge 0.5000 0.5487 0.5487

***

# 6
The following is a PBE calculation of a relaxed TmThGe2 crystal, from the Alexandria database.

Results
Energy   -23.44 eV/cell
ΔE_f   -0.579 eV per atom

Unit cell a=4.7919 b=4.7919 c=4.0833 alpha=90.00 beta=90.00 gamma=90.00
Fractional positions:
Tm 0.0000 0.0000 0.0000
Th 0.5000 0.5000 0.0000
Ge 0.0000 0.5000 0.5000
Ge 0.5000 0.0000 0.5000

***

# 7
The following is a PBE calculation of a relaxed TmTh2Ge2 crystal, from the Alexandria database.

Results
Energy   -64.37 eV/cell
ΔE_f   -0.728 eV per atom

Unit cell a=7.8457 b=7.8457 c=4.2278 alpha=90.00 beta=90.00 gamma=90.00
Fractional positions:
Tm 0.0000 0.0000 0.0000
Tm 0.5000 0.5000 0.0000
Th 0.1630 0.3370 0.5000
Th 0.3370 0.8370 0.5000
Th 0.6630 0.1630 0.5000
Th 0.8370 0.6630 0.5000
Ge 0.1413 0.6413 0.0000
Ge 0.3587 0.1413 0.0000
Ge 0.6413 0.8587 0.0000
Ge 0.8587 0.3587 0.0000

***

# 8
The following is a PBE calculation of a relaxed ThUGe2 crystal, from the Alexandria database.

Results
E above lowest polymorph   0.0574 eV per atom
Energy   -29.21 eV/cell
ΔE_f   -0.317 eV per atom

Unit cell a=3.4083 b=3.4083 c=7.9770 alpha=90.00 beta=90.00 gamma=90.00
Fractional positions:
Th 0.0000 0.0000 0.0000
U 0.0000 0.0000 0.5000
Ge 0.5000 0.5000 0.2603
Ge 0.5000 0.5000 0.7397

***

# 9
The following is a PBE calculation of a relaxed ThUGe2 crystal, from the Alexandria database.

Results
E above lowest polymorph   0.0000 eV per atom
Energy   -29.44 eV/cell
ΔE_f   -0.374 eV per atom

Unit cell a=7.3383 b=7.3383 c=7.3383 alpha=33.15 beta=33.15 gamma=33.15
Fractional positions:
Th 0.0000 0.0000 0.0000
U 0.5000 0.5000 0.5000
Ge 0.2446 0.2446 0.2446
Ge 0.7554 0.7554 0.7554

***

# 10
The following is a PBE calculation of a relaxed ThGeW crystal, from the Alexandria database.

Results
Energy   -50.21 eV/cell
ΔE_f   -0.038 eV per atom

Unit cell a=5.8068 b=5.8068 c=7.7252 alpha=108.65 beta=108.65 gamma=34.67
Fractional positions:
Th 0.0961 0.0961 0.2746
Th 0.9039 0.9039 0.7254
Ge 0.1695 0.1695 0.6993
Ge 0.8305 0.8305 0.3007
W 0.3472 0.3472 0.0492
W 0.6528 0.6528 0.9508

***

# 11
The following is a PBE calculation of a relaxed YThGe crystal, from the Alexandria database.

Results
E above lowest polymorph   0.1189 eV per atom
Energy   -19.13 eV/cell
ΔE_f   -0.211 eV per atom

Unit cell a=4.8513 b=4.8513 c=4.1121 alpha=90.00 beta=90.00 gamma=120.00
Fractional positions:
Y 0.0000 0.0000 0.0000
Th 0.3333 0.6667 0.5088
Ge 0.6667 0.3333 0.1588

***

# 12
The following is a PBE calculation of a relaxed YTh2Ge3 crystal, from the Alexandria database.

Results
Energy   -158.56 eV/cell
ΔE_f   -0.747 eV per atom

Unit cell a=6.0351 b=12.6891 c=8.5543 alpha=90.00 beta=90.00 gamma=90.00
Fractional positions:
Y 0.2497 0.0845 0.1246
Y 0.2497 0.4155 0.6246
Y 0.7503 0.5845 0.3754
Y 0.7503 0.9155 0.8754
Th 0.2497 0.0831 0.6279
Th 0.2497 0.4169 0.1279
Th 0.2505 0.7486 0.1257
Th 0.2505 0.7514 0.6257
Th 0.7495 0.2486 0.3743
Th 0.7495 0.2514 0.8743
Th 0.7503 0.5831 0.8721
Th 0.7503 0.9169 0.3721
Ge 0.2494 0.2495 0.3768
Ge 0.2494 0.2505 0.8768
Ge 0.2504 0.5825 0.3783
Ge 0.2503 0.5815 0.8728
Ge 0.2503 0.9185 0.3728
Ge 0.2504 0.9175 0.8783
Ge 0.7496 0.0825 0.1217
Ge 0.7497 0.0815 0.6272
Ge 0.7497 0.4185 0.1272
Ge 0.7496 0.4175 0.6217
Ge 0.7506 0.7495 0.1232
Ge 0.7506 0.7505 0.6232

***

# 13
The following is a PBE calculation of a relaxed YThGe2 crystal, from the Alexandria database.

Results
Energy   -52.53 eV/cell
ΔE_f   -0.787 eV per atom

Unit cell a=4.1252 b=5.9200 c=8.0335 alpha=90.00 beta=90.00 gamma=90.00
Fractional positions:
Y 0.0000 0.1236 0.0000
Y 0.0000 0.8764 0.5000
Th 0.5000 0.3734 0.3621
Th 0.5000 0.6266 0.8621
Ge 0.0000 0.3964 0.6390
Ge 0.0000 0.6036 0.1390
Ge 0.5000 0.1065 0.7238
Ge 0.5000 0.8935 0.2238

***

# 14
The following is a PBE calculation of a relaxed YThGe crystal, from the Alexandria database.

Results
E above lowest polymorph   0.0000 eV per atom
Energy   -38.98 eV/cell
ΔE_f   -0.330 eV per atom

Unit cell a=12.9985 b=12.9985 c=12.9985 alpha=18.11 beta=18.11 gamma=18.11
Fractional positions:
Y 0.1269 0.1269 0.1269
Y 0.8731 0.8731 0.8731
Th 0.2950 0.2950 0.2950
Th 0.7050 0.7050 0.7050
Ge 0.4175 0.4175 0.4175
Ge 0.5825 0.5825 0.5825

***

# 15
The following is a PBE calculation of a relaxed YThGe2 crystal, from the Alexandria database.

Results
Energy   -25.57 eV/cell
ΔE_f   -0.614 eV per atom

Unit cell a=5.4555 b=5.4555 c=3.2203 alpha=90.00 beta=90.00 gamma=90.00
Fractional positions:
Y 0.0000 0.0000 0.0000
Th 0.5000 0.5000 0.0000
Ge 0.0000 0.5000 0.5000
Ge 0.5000 0.0000 0.5000

***

# 16
The following is a PBE calculation of a relaxed YTh4Ge5 crystal, from the Alexandria database.

Results
Energy   -66.84 eV/cell
ΔE_f   -0.761 eV per atom

Unit cell a=11.3117 b=11.3117 c=11.3117 alpha=158.23 beta=148.97 gamma=38.23
Fractional positions:
Y 0.0000 0.0000 0.0000
Th 0.1982 0.1982 0.0000
Th 0.4011 0.4011 0.0000
Th 0.5989 0.5989 0.0000
Th 0.8018 0.8018 0.0000
Ge 0.0978 0.5978 0.5000
Ge 0.2998 0.7998 0.5000
Ge 0.5000 0.0000 0.5000
Ge 0.7002 0.2002 0.5000
Ge 0.9022 0.4022 0.5000

***

# 17
The following is a PBE calculation of a relaxed YThGe2 crystal, from the Alexandria database.

Results
Energy   -26.26 eV/cell
ΔE_f   -0.785 eV per atom

Unit cell a=4.1684 b=5.9005 c=5.9005 alpha=42.75 beta=90.00 gamma=90.00
Fractional positions:
Y 0.0000 0.0000 0.0000
Th 0.5000 0.2750 0.2750
Ge 0.0000 0.7253 0.7253
Ge 0.5000 0.5502 0.5502

***

# 18
The following is a PBE calculation of a relaxed YThGe2 crystal, from the Alexandria database.

Results
Energy   -25.56 eV/cell
ΔE_f   -0.609 eV per atom

Unit cell a=7.0407 b=7.0407 c=7.0407 alpha=36.42 beta=36.42 gamma=36.42
Fractional positions:
Y 0.0000 0.0000 0.0000
Th 0.1756 0.1756 0.1756
Ge 0.5949 0.5949 0.5949
Ge 0.7500 0.7500 0.7500

***

# 19
The following is a PBE calculation of a relaxed YThZnGe crystal, from the Alexandria database.

Results
Energy   -21.50 eV/cell
ΔE_f   -0.432 eV per atom

Unit cell a=5.1295 b=5.1295 c=5.1295 alpha=60.00 beta=60.00 gamma=60.00
Fractional positions:
Y 0.0000 0.0000 0.0000
Th 0.5000 0.5000 0.5000
Zn 0.7500 0.7500 0.7500
Ge 0.2500 0.2500 0.2500

***

# 20
The following is a PBE calculation of a relaxed Th2Zn3Ge2 crystal, from the Alexandria database.

Results
Energy   -31.00 eV/cell
ΔE_f   -0.443 eV per atom

Unit cell a=5.9419 b=5.9419 c=6.4592 alpha=97.35 beta=97.35 gamma=41.66
Fractional positions:
Th 0.1507 0.1507 0.2370
Th 0.8493 0.8493 0.7630
Zn 0.4271 0.4271 0.1198
Zn 0.5000 0.5000 0.5000
Zn 0.5729 0.5729 0.8802
Ge 0.1461 0.1461 0.7269
Ge 0.8539 0.8539 0.2731